This record from Alexandria via LeMat-Bulk describes crystalline Tb3TmAg2 at its relaxed geometry. The functional is PBE-GGA.

Structure (POSCAR):
```
Tb3TmAg2
1.0
-2.7642 -0.5562 4.2464
2.9331 -6.1742 1.1006
6.6238 4.0089 4.8368
Tb Ag Tm
6 4 2
Direct
0.0000 0.3436 0.3312
0.0000 0.4863 0.9376
0.0000 0.9863 0.0624
0.5000 0.1557 0.8279
0.0000 0.8436 0.6688
0.5000 0.6557 0.1721
0.5000 0.2315 0.1530
0.0000 0.7683 0.3502
0.0000 0.2683 0.6498
0.5000 0.7315 0.8470
0.5000 0.5146 0.5612
0.5000 0.0146 0.4388
```

## Properties
density of states at the Fermi level = 13.3 states/eV/cell
E_form = -113 kJ/mol of formula units
calculated density = 8.88 g/cm3